6
Lattice="5.0833 0.0000 0.0000 0.0000 7.7484 0.0000 2.5416 3.8742 4.1263" Properties=species:S:1:pos:R:3 comment="NaGaPb (PBE, optimized geometry)" e_tot_ev_per_atom=-2.770 formation_energy_mev_per_atom=-85 pbc="T T T"
Pb 2.5416 2.2585 0.3120
Pb 2.5416 5.4899 0.3120
Na 2.5416 3.8742 3.6090
Na 2.5416 7.7484 2.7525
Ga 5.0833 5.1665 1.7334
Ga 5.0833 2.5819 1.7334


5
Lattice="5.0473 0.0000 0.0000 0.0000 6.8846 0.0000 0.0000 0.0000 5.0473" Properties=species:S:1:pos:R:3 comment="RbMnZnCl2 (PBE, optimized geometry)" raw_formation_energy_mev_per_atom=60 e_tot_ev_per_atom=-2.961 pbc="T T T"
Zn 0.0000 0.0000 0.0000
Mn 2.5236 3.4423 2.5236
Rb 0.0000 3.4423 0.0000
Cl 0.0000 0.0000 2.5236
Cl 2.5236 0.0000 0.0000


18
Lattice="-4.1772 -1.8315 -1.1157 0.6524 -1.5930 10.0532 -6.0037 12.2709 2.3341" Properties=species:S:1:pos:R:3 comment="K2RbAgBr5 (PBE, optimized geometry)" raw_formation_energy_mev_per_atom=-1206 e_tot_ev_per_atom=-2.803 pbc="T T T"
K -7.9582 7.0784 8.2948
K -4.4320 7.9898 3.4773
K -2.1921 3.0390 3.2185
K -4.3911 -0.5852 7.5200
Rb -6.0432 4.0458 6.1034
Rb -0.7422 -0.8060 4.1017
Ag -7.7939 10.5425 1.9931
Ag -4.0327 3.0009 10.1719
Br -7.0919 10.2655 9.7005
Br -7.7283 9.0608 4.1801
Br -5.9132 6.8568 10.8829
Br -4.9833 7.2695 6.7238
Br -6.6739 3.4598 9.4266
Br -5.3833 4.6038 2.7166
Br -3.2560 2.7614 7.6575
Br -3.6772 2.1162 0.4128
Br -3.9678 0.3968 4.3233
Br -0.3836 0.3362 0.8843


10
Lattice="-2.9988 0.5724 -2.1053 -4.0810 -1.7557 5.3356 1.2827 6.8235 0.0281" Properties=species:S:1:pos:R:3 comment="LaPa3N6 (PBE, optimized geometry)" raw_formation_energy_mev_per_atom=-1469 e_tot_ev_per_atom=-9.805 e_above_lowest_polymorph_ev_per_fu=1.89 pbc="T T T"
La -1.3991 2.5339 2.6819
Pa -3.5399 -0.5916 1.6152
Pa 0.0000 0.0000 0.0000
Pa -0.8580 3.6979 -1.0386
N 0.1371 2.1245 0.3824
N -2.9353 2.9433 4.9813
N -1.2543 -0.1010 1.7592
N -1.5439 5.1688 3.6045
N -3.7530 1.4533 2.4748
N -2.0440 4.1869 0.7836


4
Lattice="-1.3118 1.2033 -2.0302 -4.0377 -1.3451 1.8117 -2.9145 2.7932 3.5388" Properties=species:S:1:pos:R:3 comment="MnRu2Rh (PBE, optimized geometry)" e_tot_ev_per_atom=-8.742 formation_energy_mev_per_atom=26 pbc="T T T"
Mn -4.1320 1.3257 1.6602
Rh -1.4573 1.3966 1.7694
Ru 0.0000 0.0000 0.0000
Ru -2.6748 -0.0709 -0.1092


16
Lattice="-6.5911 1.6129 -5.0557 -5.3427 -0.6687 6.5278 6.5259 5.4308 0.3664" Properties=species:S:1:pos:R:3 comment="KSr2SnS4 (PBE, optimized geometry)" raw_formation_energy_mev_per_atom=-1321 e_tot_ev_per_atom=-4.443 pbc="T T T"
K -2.6714 -0.3343 3.2639
K -5.9995 3.9939 -1.6086
Sr -3.2956 0.8065 -2.5278
Sr -0.0326 3.5218 -2.3447
Sr 3.2629 2.7154 0.1832
Sr -5.9669 0.4721 0.7360
Sn -2.7039 3.1875 0.9193
Sn -0.0652 7.0437 -4.6893
S -5.6988 -0.0606 3.8542
S -2.9290 3.6414 -1.7988
S -2.4789 2.7336 3.6372
S 0.2908 6.4357 -2.0158
S -2.4846 6.0759 1.5183
S -5.6162 3.4665 1.3419
S 0.2083 2.9085 0.4967
S -2.9233 0.2991 0.3202


5
Lattice="3.9273 0.0000 0.0000 0.0000 3.9273 0.0000 1.9636 1.9636 9.0509" Properties=species:S:1:pos:R:3 comment="La2Zn2Sb (PBE, optimized geometry)" raw_formation_energy_mev_per_atom=-448 e_tot_ev_per_atom=-3.753 e_above_lowest_polymorph_ev_per_fu=0.50 pbc="T T T"
Sb 0.0000 0.0000 0.0000
Zn 3.9273 1.9636 4.5254
Zn 1.9636 3.9273 4.5254
La 1.9637 1.9637 1.8516
La 3.9273 3.9273 7.1993


4
Lattice="5.3990 0.0070 -0.0015 2.1839 4.9376 0.0015 -3.0777 -3.5669 2.6371" Properties=species:S:1:pos:R:3 comment="SiMoSe2 (PBE, optimized geometry)" raw_formation_energy_mev_per_atom=354 e_tot_ev_per_atom=-5.451 pbc="T T T"
Mo 1.4428 1.9175 1.3193
Se 0.2170 0.1415 0.0000
Se 2.8909 -0.6517 1.3178
Si 3.7460 2.4426 0.0000


4
Lattice="3.6618 0.0000 0.0000 1.8309 3.1712 0.0000 1.8309 1.0571 10.4394" Properties=species:S:1:pos:R:3 comment="Dy2ThSe (PBE, optimized geometry)" raw_formation_energy_mev_per_atom=-513 e_tot_ev_per_atom=-5.540 e_above_lowest_polymorph_ev_per_fu=0.76 pbc="T T T"
Se 3.6618 2.1141 5.2197
Th 0.0000 0.0000 0.0000
Dy 1.8309 1.0571 7.0643
Dy 5.4927 3.1712 3.3751


18
Lattice="4.8748 0.0000 0.0000 0.0000 4.8748 0.0000 0.0000 0.0000 9.6534" Properties=species:S:1:pos:R:3 comment="CePtRhO6 (PBE, optimized geometry)" raw_formation_energy_mev_per_atom=-1424 e_tot_ev_per_atom=-6.877 pbc="T T T"
Ce 2.4374 2.4374 4.8174
Ce 0.0000 0.0000 9.6441
Pt 2.4374 2.4374 8.0125
Pt 0.0000 0.0000 3.1858
Rh 2.4374 2.4374 1.6468
Rh 0.0000 0.0000 6.4735
O 0.8570 4.0179 4.8241
O 4.0179 0.8570 4.8241
O 1.5805 1.5805 9.6508
O 3.2944 3.2944 9.6508
O 1.0062 3.8686 1.6737
O 3.8686 1.0062 1.6737
O 1.4312 1.4312 6.5004
O 3.4436 3.4436 6.5004
O 3.8705 1.0043 7.9841
O 1.0043 3.8705 7.9841
O 3.4417 3.4417 3.1574
O 1.4331 1.4331 3.1574


4
Lattice="-1.1115 -2.8114 -3.7913 -3.2099 -2.1058 2.5026 -3.0974 3.0833 -1.3783" Properties=species:S:1:pos:R:3 comment="GdMg2Pb (PBE, optimized geometry)" e_tot_ev_per_atom=-5.557 formation_energy_mev_per_atom=-313 e_above_lowest_polymorph_ev_per_fu=0.00 pbc="T T T"
Pb -0.5558 -1.4057 -1.8957
Mg -1.5487 1.5417 -0.6892
Mg -1.6049 -1.0529 1.2513
Gd -3.7094 -0.9170 -1.3335


8
Lattice="4.2345 0.0000 0.0000 0.0000 7.4457 -0.1949 0.0000 2.5766 7.0072" Properties=species:S:1:pos:R:3 comment="KNd2SmSe4 (PBE, optimized geometry)" raw_formation_energy_mev_per_atom=-1750 e_tot_ev_per_atom=-5.412 pbc="T T T"
K 0.0000 5.0111 3.4062
Nd 0.0000 2.5766 7.0072
Nd 2.1173 1.2883 3.5036
Sm 2.1173 3.7229 -0.0975
Se 0.0001 7.5411 5.1618
Se 4.2345 2.4813 1.6504
Se 2.1173 6.2731 1.5030
Se 2.1173 3.7492 5.3093


Repeat the fourth record exactly.
10
Lattice="-2.9988 0.5724 -2.1053 -4.0810 -1.7557 5.3356 1.2827 6.8235 0.0281" Properties=species:S:1:pos:R:3 comment="LaPa3N6 (PBE, optimized geometry)" raw_formation_energy_mev_per_atom=-1469 e_tot_ev_per_atom=-9.805 e_above_lowest_polymorph_ev_per_fu=1.89 pbc="T T T"
La -1.3991 2.5339 2.6819
Pa -3.5399 -0.5916 1.6152
Pa 0.0000 0.0000 0.0000
Pa -0.8580 3.6979 -1.0386
N 0.1371 2.1245 0.3824
N -2.9353 2.9433 4.9813
N -1.2543 -0.1010 1.7592
N -1.5439 5.1688 3.6045
N -3.7530 1.4533 2.4748
N -2.0440 4.1869 0.7836